## LiMn2CdO4 (PBE+U)

Data for a relaxed LiMn2CdO4 crystal.

```
LiMn2CdO4
1.0
6.3495 0.0662 0.0188
0.0617 6.3496 0.0188
-3.1762 -3.1784 4.5560
O Li Mn Cd
8 2 4 2
Direct
0.2392 0.7904 0.5174
0.7096 0.2608 0.9826
0.6924 0.7036 0.9596
0.3076 0.2964 0.0404
0.7608 0.2095 0.4826
0.7964 0.8076 0.5404
0.2036 0.1924 0.4596
0.2905 0.7392 0.0174
0.0000 0.0000 0.0000
0.5000 0.5000 0.5000
0.5000 0.0000 0.5000
0.0000 0.0000 0.5000
0.5000 0.5000 0.0000
0.5000 0.0000 0.0000
0.0000 0.5000 0.0000
0.0000 0.5000 0.5000
```

Output
Final energy = -6.207 eV per atom
SG = C2/c (15)